4
Lattice="3.7498 0.0016 -0.0123 -1.8730 3.7096 0.0071 -1.8567 -1.1073 6.9611" Properties=species:S:1:pos:R:3 comment="PBE ZnTePS, optimized geometry" magmom_total_mub_per_fu=0.000 spacegroup="P1 (1)" relative_energy_mev_per_atom=184 dft_energy_ev_per_atom=-3.444 formation_energy_uncorrected_ev_per_atom=0.04 pbc="T T T"
Zn -0.3910 2.5171 1.3603
Te 1.4946 -0.0290 3.8017
S -0.3642 2.1451 5.6909
P 3.3527 0.2080 0.7385